# 1
Density functional theory data (GGA-PBE) for Tc2TeSe after structural relaxation.

The space group is I-4m2 (No. 119) and the conventional cell measures 3.8819, 3.8819 and 9.1821 Å, with angles of 90.00, 90.00 and 90.00 degrees. Symmetry generates all atoms from Tc at (0.0000, 0.0000, 0.0000), Tc at (0.0000, 0.5000, 0.2500), Te at (0.0000, 0.5000, 0.7500) and Se at (0.0000, 0.0000, 0.5000).

The total energy is -6.195 eV/atom. The formation energy from raw total energies comes out at 0.645 eV per atom. For the density, the calculation gives 9.66 g/cm³. For the energy above the most stable polymorph in this dataset, the calculation gives 656 meV/atom.

---

# 2
Density functional theory data (GGA-PBE) for B2AuN after structural relaxation.

The space group is I-42d (No. 122) and the conventional cell measures 4.7128, 4.7128 and 6.8403 Å, with angles of 90.00, 90.00 and 90.00 degrees. Symmetry generates all atoms from B at (0.1403, 0.2500, 0.1250), Au at (0.0000, 0.0000, 0.5000) and N at (0.0000, 0.0000, 0.0000).

The total energy is -6.057 eV/atom. The formation energy from raw total energies comes out at 0.182 eV per atom. For the density, the calculation gives 10.17 g/cm³.

---

# 3
Density functional theory data (GGA-PBE) for Y2PPb after structural relaxation.

The space group is I-4m2 (No. 119) and the conventional cell measures 4.2803, 4.2803 and 10.9280 Å, with angles of 90.00, 90.00 and 90.00 degrees. Symmetry generates all atoms from Y at (0.0000, 0.0000, 0.0000), Y at (0.0000, 0.5000, 0.2500), P at (0.0000, 0.5000, 0.7500) and Pb at (0.0000, 0.0000, 0.5000).

The total energy is -6.159 eV/atom. The energy of formation from the pure elements is -0.65 eV per atom. For the density, the calculation gives 6.90 g/cm³. For the energy above the most stable polymorph in this dataset, the calculation gives 438 meV/atom.

---

# 4
Density functional theory data (GGA-PBE) for Cu5Ni6Ge after structural relaxation.

The space group is Immm (No. 71) and the conventional cell measures 3.6776, 6.8384 and 10.9432 Å, with angles of 90.00, 90.00 and 90.00 degrees. Symmetry generates all atoms from Cu at (0.0000, 0.0000, 0.0000), Cu at (0.0000, 0.0000, 0.3230), Cu at (0.0000, 0.5000, 0.3383), Ni at (0.0000, 0.2382, 0.5000), Ni at (0.0000, 0.2560, 0.1653) and Ge at (0.0000, 0.5000, 0.0000).

The total energy is -5.043 eV/atom. The energy of formation from the pure elements is -0.06 eV per atom. For the density, the calculation gives 8.96 g/cm³.

---

# 5
Density functional theory data (GGA-PBE) for YCo2N after structural relaxation.

The space group is I-42d (No. 122) and the conventional cell measures 4.4493, 4.4493 and 11.9901 Å, with angles of 90.00, 90.00 and 90.00 degrees. Symmetry generates all atoms from Y at (0.0000, 0.0000, 0.0000), Co at (0.0404, 0.7500, 0.6250) and N at (0.0000, 0.0000, 0.5000).

The total energy is -7.331 eV/atom. The formation energy from raw total energies comes out at -0.080 eV per atom. For the density, the calculation gives 6.18 g/cm³.

---

# 6
Density functional theory data (GGA-PBE) for Nb2VOs after structural relaxation.

The space group is C2/m (No. 12) and the conventional cell measures 5.4486, 8.8263 and 2.8243 Å, with angles of 90.00, 109.74 and 90.00 degrees. Symmetry generates all atoms from Nb at (0.2500, 0.2500, 0.0000), V at (0.0000, 0.0000, 0.5000) and Os at (0.0000, 0.5000, 0.5000).

The total energy is -10.281 eV/atom. The energy of formation from the pure elements is -0.16 eV per atom. For the density, the calculation gives 11.09 g/cm³.

---

# 7
Density functional theory data (GGA-PBE) for TaTcSe2N after structural relaxation.

The space group is P4/mmm (No. 123) and the conventional cell measures 5.1664, 5.1664 and 3.8795 Å, with angles of 90.00, 90.00 and 90.00 degrees. Symmetry generates all atoms from Ta at (0.0000, 0.0000, 0.0000), Tc at (0.5000, 0.5000, 0.5000), Se at (0.0000, 0.5000, 0.0000) and N at (0.0000, 0.0000, 0.5000).

The total energy is -7.000 eV/atom. The formation energy from raw total energies comes out at 0.503 eV per atom. For the density, the calculation gives 7.23 g/cm³. For the energy above the most stable polymorph in this dataset, the calculation gives 0 meV/atom.

---

# 8
Density functional theory data (GGA-PBE) for Ba9H14O2 after structural relaxation.

The space group is P-3 (No. 147) and the conventional cell measures 7.8602, 7.8602 and 10.9638 Å, with angles of 90.00, 90.00 and 120.00 degrees. Symmetry generates all atoms from Ba at (0.0000, 0.0000, 0.0000), Ba at (0.0484, 0.3494, 0.3366), Ba at (0.3333, 0.6667, 0.0264), H at (0.0000, 0.0000, 0.2512), H at (0.0267, 0.6797, 0.9118), H at (0.0424, 0.3659, 0.5897) and O at (0.3333, 0.6667, 0.2542).

The total energy is -3.771 eV/atom. For the density, the calculation gives 3.63 g/cm³.

---

# 9
Density functional theory data (GGA-PBE) for Pm4TlPb5 after structural relaxation.

The space group is Pmmn (No. 59, origin choice 2) and the conventional cell measures 11.3905, 12.3793 and 4.4814 Å, with angles of 90.00, 90.00 and 90.00 degrees. Symmetry generates all atoms from Pm at (0.0534, 0.2500, 0.2504), Pm at (0.2500, 0.0075, 0.7500), Tl at (0.2500, 0.7500, 0.7472), Pb at (0.0616, 0.5755, 0.2499) and Pb at (0.2500, 0.2500, 0.7504).

The total energy is -4.402 eV/atom. The energy of formation from the pure elements is -0.41 eV per atom. For the density, the calculation gives 9.57 g/cm³.

---

# 10
Density functional theory data (GGA-PBE) for LaMg2CdO after structural relaxation.

The space group is P4/mmm (No. 123) and the conventional cell measures 4.6537, 4.6537 and 4.8836 Å, with angles of 90.00, 90.00 and 90.00 degrees. Symmetry generates all atoms from La at (0.0000, 0.0000, 0.0000), Mg at (0.0000, 0.5000, 0.5000), Cd at (0.5000, 0.5000, 0.0000) and O at (0.0000, 0.0000, 0.5000).

The total energy is -3.801 eV/atom. The formation energy from raw total energies comes out at -1.003 eV per atom. For the density, the calculation gives 4.96 g/cm³.

---

# 11
Density functional theory data (GGA-PBE) for KPtSe after structural relaxation.

The space group is F-43m (No. 216) and the conventional cell measures 6.9169, 6.9169 and 6.9169 Å, with angles of 90.00, 90.00 and 90.00 degrees. Symmetry generates all atoms from K at (0.0000, 0.0000, 0.0000), Pt at (0.2500, 0.2500, 0.2500) and Se at (0.2500, 0.2500, 0.7500).

The total energy is -2.794 eV/atom. The formation energy from raw total energies comes out at 0.746 eV per atom. For the density, the calculation gives 6.29 g/cm³.

---

# 12
Density functional theory data (GGA-PBE) for AlSiGe2 after structural relaxation.

The space group is Fm-3m (No. 225) and the conventional cell measures 6.5399, 6.5399 and 6.5399 Å, with angles of 90.00, 90.00 and 90.00 degrees. Symmetry generates all atoms from Al at (0.0000, 0.0000, 0.0000), Si at (0.0000, 0.0000, 0.5000) and Ge at (0.2500, 0.2500, 0.2500).

The total energy is -4.238 eV/atom. The formation energy from raw total energies comes out at 0.362 eV per atom. For the density, the calculation gives 4.76 g/cm³. For the energy above the most stable polymorph in this dataset, the calculation gives 225 meV/atom.

---

# 13
Density functional theory data (GGA-PBE) for Mn2NbGa after structural relaxation.

The space group is P4/mmm (No. 123) and the conventional cell measures 4.0910, 4.0910 and 3.2814 Å, with angles of 90.00, 90.00 and 90.00 degrees. Symmetry generates all atoms from Mn at (0.0000, 0.5000, 0.0000), Nb at (0.0000, 0.0000, 0.5000) and Ga at (0.5000, 0.5000, 0.5000).

The total energy is -8.006 eV/atom. The energy of formation from the pure elements is -0.15 eV per atom. For the density, the calculation gives 8.24 g/cm³.

---

# 14
Density functional theory data (GGA-PBE) for CsLiBe2C after structural relaxation.

The space group is P4/mmm (No. 123) and the conventional cell measures 3.7201, 3.7201 and 5.1481 Å, with angles of 90.00, 90.00 and 90.00 degrees. Symmetry generates all atoms from Cs at (0.0000, 0.0000, 0.0000), Li at (0.5000, 0.5000, 0.0000), Be at (0.0000, 0.5000, 0.5000) and C at (0.5000, 0.5000, 0.5000).

The total energy is -2.971 eV/atom. The energy of formation from the pure elements is 0.92 eV per atom. For the density, the calculation gives 3.96 g/cm³.

---

# 15
Density functional theory data (GGA-PBE) for KHf3Sb after structural relaxation.

The space group is Pm-3m (No. 221) and the conventional cell measures 5.4275, 5.4275 and 5.4275 Å, with angles of 90.00, 90.00 and 90.00 degrees. Symmetry generates all atoms from K at (0.0000, 0.0000, 0.0000), Hf at (0.0000, 0.5000, 0.5000) and Sb at (0.5000, 0.5000, 0.5000).

The total energy is -5.942 eV/atom. The formation energy from raw total energies comes out at 1.074 eV per atom. For the density, the calculation gives 7.23 g/cm³. For the energy above the most stable polymorph in this dataset, the calculation gives 0 meV/atom.

---

# 16
Density functional theory data (GGA-PBE) for SrHgBi2Sb after structural relaxation.

The space group is P4/mmm (No. 123) and the conventional cell measures 5.7892, 5.7892 and 5.6032 Å, with angles of 90.00, 90.00 and 90.00 degrees. Symmetry generates all atoms from Sr at (0.0000, 0.0000, 0.0000), Hg at (0.5000, 0.5000, 0.5000), Bi at (0.0000, 0.5000, 0.5000) and Sb at (0.5000, 0.5000, 0.0000).

The total energy is -2.646 eV/atom. The formation energy from raw total energies comes out at 0.127 eV per atom. For the density, the calculation gives 7.32 g/cm³.

---

# 17
Density functional theory data (GGA-PBE) for AcTbCuHg after structural relaxation.

The space group is F-43m (No. 216) and the conventional cell measures 7.5982, 7.5982 and 7.5982 Å, with angles of 90.00, 90.00 and 90.00 degrees. Symmetry generates all atoms from Ac at (0.0000, 0.0000, 0.0000), Tb at (0.0000, 0.0000, 0.5000), Cu at (0.2500, 0.2500, 0.7500) and Hg at (0.2500, 0.2500, 0.2500).

The total energy is -3.529 eV/atom. The energy of formation from the pure elements is -0.24 eV per atom. For the density, the calculation gives 9.84 g/cm³.

---

# 18
Density functional theory data (GGA-PBE) for PmSc3Ru2 after structural relaxation.

The space group is P4/mmm (No. 123) and the conventional cell measures 3.2637, 3.2637 and 11.6572 Å, with angles of 90.00, 90.00 and 90.00 degrees. Symmetry generates all atoms from Pm at (0.0000, 0.0000, 0.0000), Sc at (0.5000, 0.5000, 0.2340), Sc at (0.5000, 0.5000, 0.5000) and Ru at (0.0000, 0.0000, 0.3583).

The total energy is -7.474 eV/atom. The energy of formation from the pure elements is -0.42 eV per atom. For the density, the calculation gives 6.45 g/cm³.

---

# 19
Density functional theory data (GGA-PBE) for La6AlGe2I3 after structural relaxation.

The space group is C2/m (No. 12) and the conventional cell measures 20.1929, 4.4627 and 9.3659 Å, with angles of 90.00, 105.52 and 90.00 degrees. Symmetry generates all atoms from La at (0.0105, 0.0000, 0.2362), La at (0.1597, 0.5000, 0.1114), La at (0.1770, 0.5000, 0.5592), Al at (0.0000, 0.5000, 0.0000), Ge at (0.1676, 0.0000, 0.3357), I at (0.0000, 0.5000, 0.5000) and I at (0.1662, 0.0000, 0.8329).

The total energy is -4.873 eV/atom. The formation energy from raw total energies comes out at -0.940 eV per atom. For the density, the calculation gives 5.66 g/cm³.

---

# 20
Density functional theory data (GGA-PBE) for RbSnH2Br8 after structural relaxation.

The space group is P-1 (No. 2) and the conventional cell measures 6.9500, 7.2933 and 9.7404 Å, with angles of 84.62, 73.64 and 68.57 degrees. Symmetry generates all atoms from Rb at (0.0000, 0.0000, 0.0000), Sn at (0.0000, 0.0000, 0.5000), H at (0.4974, 0.7140, 0.1448), Br at (0.1501, 0.7306, 0.6770), Br at (0.1750, 0.7288, 0.2932), Br at (0.3164, 0.3195, 0.9814) and Br at (0.3454, 0.1137, 0.4201).

The total energy is -2.680 eV/atom. For the density, the calculation gives 3.18 g/cm³.

---

# 21
Density functional theory data (GGA-PBE) for LiMn2W after structural relaxation.

The space group is F-43m (No. 216) and the conventional cell measures 5.8955, 5.8955 and 5.8955 Å, with angles of 90.00, 90.00 and 90.00 degrees. Symmetry generates all atoms from Li at (0.0000, 0.0000, 0.0000), Mn at (0.0000, 0.0000, 0.5000), Mn at (0.2500, 0.2500, 0.2500) and W at (0.2500, 0.2500, 0.7500).

The total energy is -7.928 eV/atom. The energy of formation from the pure elements is 0.37 eV per atom. For the density, the calculation gives 9.75 g/cm³.

---

# 22
Density functional theory data (GGA-PBE) for Be2FeBr after structural relaxation.

The space group is Imm2 (No. 44) and the conventional cell measures 3.0532, 4.0026 and 8.2674 Å, with angles of 90.00, 90.00 and 90.00 degrees. Symmetry generates all atoms from Be at (0.0000, 0.0000, 0.0000), Be at (0.0000, 0.5000, 0.2822), Fe at (0.0000, 0.0000, 0.5611) and Br at (0.0000, 0.5000, 0.7326).

The total energy is -3.634 eV/atom. The formation energy from raw total energies comes out at 0.763 eV per atom. For the density, the calculation gives 5.05 g/cm³. For the energy above the most stable polymorph in this dataset, the calculation gives 494 meV/atom.

---

# 23
Density functional theory data (GGA-PBE) for BaNaEuPb after structural relaxation.

The space group is F-43m (No. 216) and the conventional cell measures 8.4518, 8.4518 and 8.4518 Å, with angles of 90.00, 90.00 and 90.00 degrees. Symmetry generates all atoms from Ba at (0.0000, 0.0000, 0.0000), Na at (0.2500, 0.2500, 0.7500), Eu at (0.0000, 0.0000, 0.5000) and Pb at (0.2500, 0.2500, 0.2500).

The total energy is -4.632 eV/atom. The energy of formation from the pure elements is -0.33 eV per atom. For the density, the calculation gives 5.72 g/cm³.

---

# 24
Density functional theory data (GGA-PBE) for CsAl2H2 after structural relaxation.

The space group is I4/mmm (No. 139) and the conventional cell measures 3.5571, 3.5571 and 15.9906 Å, with angles of 90.00, 90.00 and 90.00 degrees. Symmetry generates all atoms from Cs at (0.0000, 0.0000, 0.0000), Al at (0.0000, 0.0000, 0.3116) and H at (0.0000, 0.5000, 0.2500).

The total energy is -2.663 eV/atom. For the density, the calculation gives 3.10 g/cm³. For the energy above the most stable polymorph in this dataset, the calculation gives 0 meV/atom.

---

# 25
Density functional theory data (GGA-PBE) for CaEuRhI after structural relaxation.

The space group is F-43m (No. 216) and the conventional cell measures 7.4779, 7.4779 and 7.4779 Å, with angles of 90.00, 90.00 and 90.00 degrees. Symmetry generates all atoms from Ca at (0.0000, 0.0000, 0.0000), Eu at (0.0000, 0.0000, 0.5000), Rh at (0.2500, 0.2500, 0.7500) and I at (0.2500, 0.2500, 0.2500).

The total energy is -5.778 eV/atom. The formation energy from raw total energies comes out at -0.484 eV per atom. For the density, the calculation gives 6.70 g/cm³.

---

# 26
Density functional theory data (GGA-PBE) for GaPHPtS after structural relaxation.

The space group is Cm (No. 8) and the conventional cell measures 10.3402, 3.7738 and 5.1170 Å, with angles of 90.00, 114.06 and 90.00 degrees. Symmetry generates all atoms from Ga at (0.0000, 0.0000, 0.0000), P at (0.0835, 0.5000, 0.5313), H at (0.2089, 0.5000, 0.7932), Pt at (0.4519, 0.5000, 0.4677) and S at (0.1901, 0.5000, 0.2499).

The total energy is -4.674 eV/atom. For the density, the calculation gives 5.99 g/cm³. For the energy above the most stable polymorph in this dataset, the calculation gives 45 meV/atom.